(1)
VASP calculation (GGA-PBE) on crystalline RbDyIn2Br6 at its relaxed geometry.

a = 8.5232 Å, b = 8.5232 Å, c = 8.5232 Å
α = 57.44°, β = 57.44°, γ = 57.44°
Closest atoms and distances in Å follow each position.
Fractional positions:
Rb1 0.0000 0.0000 0.0000  6 Br 3.40-3.56
Dy1 0.4902 0.4902 0.4902  6 Br 2.80-2.85
In1 0.2920 0.2920 0.2920  6 Br 3.27-3.42
In2 0.7996 0.7996 0.7996  6 Br 3.28-3.39
Br1 0.1353 0.6744 0.4069  1 Dy 2.85
Br2 0.2550 0.5942 0.8313  1 Dy 2.80
Br3 0.4069 0.1353 0.6744  1 Dy 2.85
Br4 0.5942 0.8313 0.2550  1 Dy 2.80
Br5 0.6744 0.4069 0.1353  1 Dy 2.85
Br6 0.8313 0.2550 0.5942  1 Dy 2.80

Properties
Mass density in g/cm3: 3.86
Spin magnetization in μB/f.u.: 0.0
Formation energy from raw total energies in eV per formula unit: -13.78
Crystal system: trigonal



(2)
VASP calculation (GGA-PBE) on crystalline RbGa2Sn at its relaxed geometry.

a = 4.6242 Å, b = 4.6242 Å, c = 26.7188 Å
α = 90.00°, β = 90.00°, γ = 120.00°
Closest atoms and distances in Å follow each position.
Fractional positions:
Rb1 0.0000 0.0000 0.0000  2 Ga 3.43
Rb2 0.3333 0.6667 0.6667  2 Ga 3.43
Rb3 0.6667 0.3333 0.3333  2 Ga 3.43
Ga1 0.0000 0.0000 0.1285  3 Sn 2.86
Ga2 0.0000 0.0000 0.8715  3 Sn 2.86
Ga3 0.3333 0.6667 0.5382  3 Sn 2.86
Ga4 0.3333 0.6667 0.7951  3 Sn 2.86
Ga5 0.6667 0.3333 0.2049  3 Sn 2.86
Ga6 0.6667 0.3333 0.4618  3 Sn 2.86
Sn1 0.0000 0.0000 0.5000  6 Ga 2.86
Sn2 0.3333 0.6667 0.1667  6 Ga 2.86
Sn3 0.6667 0.3333 0.8333  6 Ga 2.86

Properties
Mass density in g/cm3: 3.46
Spin magnetization in μB/f.u.: 0.0
Crystal system: trigonal
E_form in eV/atom: 0.138



(3)
VASP calculation (GGA-PBE) on crystalline Ac2PAu at its relaxed geometry.

a = 7.6924 Å, b = 7.6924 Å, c = 7.6924 Å
α = 90.00°, β = 90.00°, γ = 90.00°
Closest atoms and distances in Å follow each position.
Fractional positions:
Ac1 0.2500 0.2500 0.2500  4 P 3.33, 4 Au 3.33
Ac2 0.2500 0.2500 0.7500  4 P 3.33, 4 Au 3.33
Ac3 0.2500 0.7500 0.2500  4 P 3.33, 4 Au 3.33
Ac4 0.2500 0.7500 0.7500  4 P 3.33, 4 Au 3.33
Ac5 0.7500 0.2500 0.2500  4 P 3.33, 4 Au 3.33
Ac6 0.7500 0.2500 0.7500  4 P 3.33, 4 Au 3.33
Ac7 0.7500 0.7500 0.2500  4 P 3.33, 4 Au 3.33
Ac8 0.7500 0.7500 0.7500  4 P 3.33, 4 Au 3.33
P1 0.0000 0.0000 0.0000  8 Ac 3.33
P2 0.0000 0.5000 0.5000  8 Ac 3.33
P3 0.5000 0.0000 0.5000  8 Ac 3.33
P4 0.5000 0.5000 0.0000  8 Ac 3.33
Au1 0.0000 0.0000 0.5000  8 Ac 3.33
Au2 0.0000 0.5000 0.0000  8 Ac 3.33
Au3 0.5000 0.0000 0.0000  8 Ac 3.33
Au4 0.5000 0.5000 0.5000  8 Ac 3.33

Properties
Mass density in g/cm3: 9.95
Spin magnetization in μB/f.u.: 1.2
Crystal system: cubic
E_form in eV/atom: -0.795



(4)
VASP calculation (GGA-PBE) on crystalline Zn2FeMo at its relaxed geometry.

a = 2.6227 Å, b = 4.2683 Å, c = 5.0056 Å
α = 90.00°, β = 95.98°, γ = 90.00°
Closest atoms and distances in Å follow each position.
Fractional positions:
Zn1 0.0000 0.0000 0.0000  4 Zn 2.52-2.62, 2 Mo 2.62-2.78, 2 Fe 2.66
Zn2 0.0704 0.5000 0.7404  4 Zn 2.52-2.62, 1 Fe 2.59, 2 Mo 2.75
Fe1 0.6635 0.5000 0.2473  2 Mo 2.52, 3 Zn 2.59-2.66, 2 Fe 2.62
Mo1 0.4776 0.0000 0.4874  2 Fe 2.52, 2 Mo 2.62, 4 Zn 2.62-2.78

Properties
Mass density in g/cm3: 8.42
Spin magnetization in μB/f.u.: 1.7
Crystal system: monoclinic
E_form in eV/atom: 0.111



(5)
VASP calculation (GGA-PBE) on crystalline NpU6Se12 at its relaxed geometry.

a = 8.3074 Å, b = 8.3074 Å, c = 8.3074 Å
α = 90.04°, β = 90.04°, γ = 90.04°
Closest atoms and distances in Å follow each position.
Fractional positions:
Np1 0.0000 0.0000 0.0000  6 Se 2.84
U1 0.0823 0.5722 0.2573  6 Se 2.81-2.99
U2 0.2573 0.0823 0.5722  6 Se 2.81-2.99
U3 0.4278 0.7427 0.9177  6 Se 2.81-2.99
U4 0.5722 0.2573 0.0823  6 Se 2.81-2.99
U5 0.7427 0.9177 0.4278  6 Se 2.81-2.99
U6 0.9177 0.4278 0.7427  6 Se 2.81-2.99
Se1 0.0852 0.6801 0.9140  1 Np 2.84, 3 U 2.89-2.99
Se2 0.0860 0.9148 0.3199  1 Np 2.84, 3 U 2.89-2.99
Se3 0.1924 0.4127 0.5416  3 U 2.81-2.86
Se4 0.3199 0.0860 0.9148  1 Np 2.84, 3 U 2.89-2.99
Se5 0.4127 0.5416 0.1924  3 U 2.81-2.86
Se6 0.4584 0.8076 0.5873  3 U 2.81-2.86
Se7 0.5416 0.1924 0.4127  3 U 2.81-2.86
Se8 0.5873 0.4584 0.8076  3 U 2.81-2.86
Se9 0.6801 0.9140 0.0852  1 Np 2.84, 3 U 2.89-2.99
Se10 0.8076 0.5873 0.4584  3 U 2.81-2.86
Se11 0.9140 0.0852 0.6801  1 Np 2.84, 3 U 2.89-2.99
Se12 0.9148 0.3199 0.0860  1 Np 2.84, 3 U 2.89-2.99

Properties
Mass density in g/cm3: 7.57
Spin magnetization in μB/f.u.: 19.0
Formation energy from raw total energies in eV per formula unit: -19.61
Crystal system: trigonal



(6)
VASP calculation (GGA-PBE) on crystalline CaMn2CrAg at its relaxed geometry.

a = 4.4358 Å, b = 4.4358 Å, c = 5.1663 Å
α = 90.00°, β = 90.00°, γ = 90.00°
Closest atoms and distances in Å follow each position.
Fractional positions:
Ca1 0.0000 0.0000 0.0000  4 Ag 3.14, 8 Mn 3.40
Mn1 0.0000 0.5000 0.5000  2 Cr 2.22
Mn2 0.5000 0.0000 0.5000  2 Cr 2.22
Cr1 0.5000 0.5000 0.5000  4 Mn 2.22
Ag1 0.5000 0.5000 0.0000  2 Cr 2.58

Properties
Mass density in g/cm3: 5.06
Spin magnetization in μB/f.u.: 4.3
Crystal system: tetragonal
E_form in eV/atom: 0.578



(7)
VASP calculation (GGA-PBE) on crystalline TcSF2 at its relaxed geometry.

a = 7.6746 Å, b = 7.6746 Å, c = 4.4420 Å
α = 90.00°, β = 90.00°, γ = 90.00°
Closest atoms and distances in Å follow each position.
Fractional positions:
Tc1 0.0000 0.0000 0.0000  4 F 2.13, 2 S 2.22
Tc2 0.0000 0.5000 0.2500  4 F 2.13, 2 S 2.22
Tc3 0.5000 0.0000 0.7500  4 F 2.13, 2 S 2.22
Tc4 0.5000 0.5000 0.5000  4 F 2.13, 2 S 2.22
S1 0.0000 0.0000 0.5000  2 Tc 2.22
S2 0.0000 0.5000 0.7500  2 Tc 2.22
S3 0.5000 0.0000 0.2500  2 Tc 2.22
S4 0.5000 0.5000 0.0000  2 Tc 2.22
F1 0.0980 0.2500 0.1250  2 Tc 2.13
F2 0.2500 0.5980 0.3750  2 Tc 2.13
F3 0.2500 0.9020 0.8750  2 Tc 2.13
F4 0.4020 0.2500 0.6250  2 Tc 2.13
F5 0.5980 0.7500 0.6250  2 Tc 2.13
F6 0.7500 0.0980 0.8750  2 Tc 2.13
F7 0.7500 0.4020 0.3750  2 Tc 2.13
F8 0.9020 0.7500 0.1250  2 Tc 2.13

Properties
Mass density in g/cm3: 4.27
Spin magnetization in μB/f.u.: 0.0
Formation energy from raw total energies in eV per formula unit: -3.43
Crystal system: tetragonal



(8)
VASP calculation (GGA-PBE) on crystalline Ho4PPb2Se at its relaxed geometry.

a = 6.8366 Å, b = 3.9758 Å, c = 8.0978 Å
α = 90.00°, β = 106.81°, γ = 90.00°
Closest atoms and distances in Å follow each position.
Fractional positions:
Ho1 0.2283 0.0000 0.2041  2 P 2.76, 1 Se 2.82
Ho2 0.2518 0.5000 0.7899  1 P 2.75, 2 Se 2.84
Ho3 0.7482 0.5000 0.2101  1 P 2.75, 2 Se 2.84
Ho4 0.7717 0.0000 0.7959  2 P 2.76, 1 Se 2.82
P1 0.0000 0.5000 0.0000  6 Ho 2.75-2.76
Pb1 0.0000 0.0000 0.5000  6 Ho 3.18-3.22
Pb2 0.5000 0.5000 0.5000  6 Ho 3.25-3.27
Se1 0.5000 0.0000 0.0000  6 Ho 2.82-2.84

Properties
Mass density in g/cm3: 9.33
Spin magnetization in μB/f.u.: 0.0
Formation energy from raw total energies in eV per formula unit: -8.58
Crystal system: monoclinic



(9)
VASP calculation (GGA-PBE) on crystalline TiCd6O8 at its relaxed geometry.

a = 6.6786 Å, b = 6.6786 Å, c = 6.6786 Å
α = 60.00°, β = 60.00°, γ = 60.00°
Closest atoms and distances in Å follow each position.
Fractional positions:
Ti1 0.0000 0.0000 0.0000  6 O 2.01
Cd1 0.0000 0.0000 0.5000  6 O 2.36-2.39
Cd2 0.0000 0.5000 0.0000  6 O 2.36-2.39
Cd3 0.0000 0.5000 0.5000  6 O 2.36-2.39
Cd4 0.5000 0.0000 0.0000  6 O 2.36-2.39
Cd5 0.5000 0.0000 0.5000  6 O 2.36-2.39
Cd6 0.5000 0.5000 0.0000  6 O 2.36-2.39
O1 0.2133 0.2133 0.7867  1 Ti 2.01
O2 0.2133 0.7867 0.2133  1 Ti 2.01
O3 0.2133 0.7867 0.7867  1 Ti 2.01
O4 0.2500 0.2500 0.2500  6 Cd 2.36
O5 0.7500 0.7500 0.7500  6 Cd 2.36
O6 0.7867 0.2133 0.2133  1 Ti 2.01
O7 0.7867 0.2133 0.7867  1 Ti 2.01
O8 0.7867 0.7867 0.2133  1 Ti 2.01

Properties
Mass density in g/cm3: 6.70
Spin magnetization in μB/f.u.: 0.0
Formation energy from raw total energies in eV per formula unit: -20.83
Crystal system: cubic



(10)
VASP calculation (GGA-PBE) on crystalline Ga2ReW at its relaxed geometry.

a = 6.2066 Å, b = 6.2066 Å, c = 6.2066 Å
α = 90.00°, β = 90.00°, γ = 90.00°
Closest atoms and distances in Å follow each position.
Fractional positions:
Ga1 0.2500 0.2500 0.2500  4 W 2.69, 4 Re 2.69
Ga2 0.2500 0.2500 0.7500  4 W 2.69, 4 Re 2.69
Ga3 0.2500 0.7500 0.2500  4 W 2.69, 4 Re 2.69
Ga4 0.2500 0.7500 0.7500  4 W 2.69, 4 Re 2.69
Ga5 0.7500 0.2500 0.2500  4 W 2.69, 4 Re 2.69
Ga6 0.7500 0.2500 0.7500  4 W 2.69, 4 Re 2.69
Ga7 0.7500 0.7500 0.2500  4 W 2.69, 4 Re 2.69
Ga8 0.7500 0.7500 0.7500  4 W 2.69, 4 Re 2.69
Re1 0.0000 0.0000 0.0000  8 Ga 2.69
Re2 0.0000 0.5000 0.5000  8 Ga 2.69
Re3 0.5000 0.0000 0.5000  8 Ga 2.69
Re4 0.5000 0.5000 0.0000  8 Ga 2.69
W1 0.0000 0.0000 0.5000  8 Ga 2.69
W2 0.0000 0.5000 0.0000  8 Ga 2.69
W3 0.5000 0.0000 0.0000  8 Ga 2.69
W4 0.5000 0.5000 0.5000  8 Ga 2.69

Properties
Mass density in g/cm3: 14.15
Spin magnetization in μB/f.u.: 0.0
Crystal system: cubic
E_form in eV/atom: 0.391



(11)
VASP calculation (GGA-PBE) on crystalline YAlMo2 at its relaxed geometry.

a = 5.7286 Å, b = 9.1935 Å, c = 2.7837 Å
α = 90.00°, β = 90.00°, γ = 90.00°
Closest atoms and distances in Å follow each position.
Fractional positions:
Y1 0.0000 0.0000 0.0000  2 Y 2.78, 2 Al 2.86, 8 Mo 3.04
Y2 0.5000 0.5000 0.0000  2 Y 2.78, 2 Al 2.86, 8 Mo 3.04
Al1 0.0000 0.5000 0.0000  2 Al 2.78, 2 Y 2.86, 8 Mo 3.04
Al2 0.5000 0.0000 0.0000  2 Al 2.78, 2 Y 2.86, 8 Mo 3.04
Mo1 0.2500 0.2500 0.5000  4 Mo 2.78-2.86, 4 Al 3.04, 4 Y 3.04
Mo2 0.2500 0.7500 0.5000  4 Mo 2.78-2.86, 4 Al 3.04, 4 Y 3.04
Mo3 0.7500 0.2500 0.5000  4 Mo 2.78-2.86, 4 Al 3.04, 4 Y 3.04
Mo4 0.7500 0.7500 0.5000  4 Mo 2.78-2.86, 4 Y 3.04, 4 Al 3.04

Properties
Mass density in g/cm3: 6.97
Spin magnetization in μB/f.u.: 0.0
Crystal system: orthorhombic
E_form in eV/atom: 0.357



(12)
VASP calculation (GGA-PBE) on crystalline KNaSr2Cl6 at its relaxed geometry.

a = 7.9074 Å, b = 7.9074 Å, c = 7.9074 Å
α = 56.48°, β = 56.48°, γ = 56.48°
Closest atoms and distances in Å follow each position.
Fractional positions:
K1 0.0000 0.0000 0.0000  6 Cl 3.08-3.27
Na1 0.4895 0.4895 0.4895  6 Cl 2.88-2.95
Sr1 0.2864 0.2864 0.2864  6 Cl 2.90-2.95
Sr2 0.7933 0.7933 0.7933  6 Cl 2.89-2.94
Cl1 0.0842 0.6554 0.4240  2 Sr 2.89-2.95, 1 Na 2.95, 1 K 3.08
Cl2 0.1922 0.5720 0.8890  1 Na 2.88, 2 Sr 2.90-2.94
Cl3 0.4240 0.0842 0.6554  2 Sr 2.89-2.95, 1 Na 2.95, 1 K 3.08
Cl4 0.5720 0.8890 0.1922  1 Na 2.88, 2 Sr 2.90-2.94
Cl5 0.6554 0.4240 0.0842  2 Sr 2.89-2.95, 1 Na 2.95, 1 K 3.08
Cl6 0.8890 0.1922 0.5720  1 Na 2.88, 2 Sr 2.90-2.94

Properties
Mass density in g/cm3: 2.33
Spin magnetization in μB/f.u.: 0.0
Formation energy from raw total energies in eV per formula unit: -22.26
Crystal system: trigonal